Run w
Crystalline AlInSn3 at its relaxed geometry, computed with PBE.

a = 5.6249 Å, b = 5.6249 Å, c = 5.6249 Å
α = 90.00°, β = 90.00°, γ = 90.00°
Positions (direct):
Al 0.5000 0.5000 0.5000
Sn 0.0000 0.5000 0.0000
Sn 0.0000 0.0000 0.5000
Sn 0.5000 0.0000 0.0000
In 0.0000 0.0000 0.0000

Results
* space group: No. 221
* crystal system: cubic

---

Run x
Crystalline AlInSn3 at its relaxed geometry, computed with PBE.

a = 5.3434 Å, b = 5.3434 Å, c = 5.3434 Å
α = 90.00°, β = 90.00°, γ = 90.00°
Positions (direct):
Al 0.0000 0.0000 0.0000
Sn 0.0000 0.5000 0.0000
Sn 0.0000 0.0000 0.5000
Sn 0.5000 0.0000 0.0000
In 0.5000 0.5000 0.5000

Results
* space group: No. 221
* crystal system: cubic

---

Stability check: which of them is most stable? run x.

---

Run w
Crystalline Sr2AlIn2 at its relaxed geometry, computed with PBE.

a = 7.6856 Å, b = 7.6856 Å, c = 5.3015 Å
α = 90.00°, β = 90.00°, γ = 90.00°
Positions (direct):
Sr 0.1738 0.6738 0.5000
Sr 0.6738 0.8262 0.5000
Sr 0.8262 0.3262 0.5000
Sr 0.3262 0.1738 0.5000
Al 0.0000 0.0000 0.0000
Al 0.5000 0.5000 0.0000
In 0.3634 0.8634 0.0000
In 0.8634 0.6366 0.0000
In 0.6366 0.1366 0.0000
In 0.1366 0.3634 0.0000

Results
* space group: No. 127
* crystal system: tetragonal

---

Run x
Crystalline Sr2AlIn2 at its relaxed geometry, computed with PBE.

a = 4.8620 Å, b = 6.4885 Å, c = 10.9372 Å
α = 83.30°, β = 77.16°, γ = 68.00°
Positions (direct):
Sr 0.3109 0.2682 0.1100
Sr 0.5075 0.3192 0.6659
Sr 0.6891 0.7318 0.8900
Sr 0.4925 0.6808 0.3341
Al 0.7837 0.0875 0.3451
Al 0.2163 0.9125 0.6549
In 0.9816 0.1550 0.8818
In 0.1499 0.2561 0.4442
In 0.0184 0.8450 0.1182
In 0.8501 0.7439 0.5558

Results
* space group: No. 12
* crystal system: monoclinic

---

Stability check: which of them is most stable? run x.

---

Run w
Crystalline Sr3Al2In4 at its relaxed geometry, computed with PBE.

a = 6.3699 Å, b = 6.3699 Å, c = 18.2897 Å
α = 75.47°, β = 75.47°, γ = 46.16°
Positions (direct):
Sr 0.6123 0.6123 0.0697
Sr 0.9484 0.9484 0.3986
Sr 0.2788 0.2788 0.7348
Sr 0.7188 0.7188 0.2649
Sr 0.0528 0.0528 0.5981
Sr 0.3846 0.3846 0.9334
Al 0.2855 0.2855 0.1347
Al 0.6314 0.6314 0.4655
Al 0.9625 0.9625 0.8008
Al 0.0461 0.0461 0.1992
In 0.3839 0.3839 0.5325
In 0.7149 0.7149 0.8678
In 0.9072 0.9072 0.0815
In 0.2422 0.2422 0.4075
In 0.5724 0.5724 0.7433
In 0.4237 0.4237 0.2531
In 0.7518 0.7518 0.5894
In 0.0827 0.0827 0.9253

Results
* space group: No. 8
* crystal system: monoclinic

---

Run x
Crystalline Sr3Al2In4 at its relaxed geometry, computed with PBE.

a = 4.9341 Å, b = 6.4231 Å, c = 9.5072 Å
α = 106.53°, β = 90.00°, γ = 112.59°
Positions (direct):
Sr 0.6367 0.2734 0.6817
Sr 0.0000 0.0000 0.0000
Sr 0.3633 0.7266 0.3183
Al 0.6638 0.3276 0.3252
Al 0.3362 0.6724 0.6748
In 0.7191 0.4381 0.0620
In 0.2809 0.5619 0.9380
In 0.9014 0.8028 0.5771
In 0.0986 0.1972 0.4229

Results
* space group: No. 12
* crystal system: monoclinic

---

Stability check: which of them is most stable? run w.

---

Run w
Crystalline SrAl3In at its relaxed geometry, computed with PBE.

a = 5.9338 Å, b = 5.9338 Å, c = 5.9338 Å
α = 90.00°, β = 90.00°, γ = 90.00°
Positions (direct):
Sr 0.0000 0.0000 0.0000
Al 0.0000 0.5000 0.0000
Al 0.0000 0.0000 0.5000
Al 0.5000 0.0000 0.0000
In 0.5000 0.5000 0.5000

Results
* space group: No. 221
* crystal system: cubic

---

Run x
Crystalline SrAl3In at its relaxed geometry, computed with PBE.

a = 5.3339 Å, b = 5.3339 Å, c = 5.3339 Å
α = 90.00°, β = 90.00°, γ = 90.00°
Positions (direct):
Sr 0.5000 0.5000 0.5000
Al 0.0000 0.5000 0.0000
Al 0.0000 0.0000 0.5000
Al 0.5000 0.0000 0.0000
In 0.0000 0.0000 0.0000

Results
* space group: No. 221
* crystal system: cubic

---

Stability check: which of them is most stable? run x.

---

Run w
Crystalline TaAlIn at its relaxed geometry, computed with PBE.

a = 7.1295 Å, b = 7.0701 Å, c = 2.9127 Å
α = 79.31°, β = 77.02°, γ = 23.67°
Positions (direct):
In 0.6683 0.6683 0.3317
Al 0.9885 0.9885 0.0115
Ta 0.3431 0.3431 0.6569

Results
* space group: No. 42
* crystal system: orthorhombic

---

Run x
Crystalline TaAlIn at its relaxed geometry, computed with PBE.

a = 4.5488 Å, b = 4.5488 Å, c = 4.5488 Å
α = 60.00°, β = 60.00°, γ = 60.00°
Each line ends with the local moment (μB).
Positions (direct):
In 0.2500 0.2500 0.2500  0.04
Al 0.5000 0.5000 0.5000  -0.01
Ta 0.0000 0.0000 0.0000  0.81

Results
* space group: No. 216
* crystal system: cubic

---

Stability check: which of them is most stable? run w.

---

Run w
Crystalline TaAlIn at its relaxed geometry, computed with PBE.

a = 4.7605 Å, b = 4.7605 Å, c = 2.8365 Å
α = 90.00°, β = 90.00°, γ = 120.00°
Positions (direct):
In 0.3333 0.6667 0.1672
Al 0.0000 0.0000 0.1663
Ta 0.6667 0.3333 0.6664

Results
* space group: No. 187
* crystal system: hexagonal

---

Run x
Crystalline TaAlIn at its relaxed geometry, computed with PBE.

a = 5.5125 Å, b = 5.5125 Å, c = 5.5125 Å
α = 148.34°, β = 139.39°, γ = 52.38°
Positions (direct):
In 0.3352 0.3352 0.0000
Al 0.0138 0.0138 0.0000
Ta 0.6510 0.6510 0.0000

Results
* space group: No. 44
* crystal system: orthorhombic

---

Stability check: which of them is most stable? run x.

---

Run w
Crystalline TaAlIn3 at its relaxed geometry, computed with PBE.

a = 5.1418 Å, b = 5.1418 Å, c = 5.1418 Å
α = 90.00°, β = 90.00°, γ = 90.00°
Each line ends with the local moment (μB).
Positions (direct):
In 0.0000 0.5000 0.0000  -0.01
In 0.0000 0.0000 0.5000  -0.01
In 0.5000 0.0000 0.0000  -0.01
Al 0.0000 0.0000 0.0000  0.02
Ta 0.5000 0.5000 0.5000  1.53

Results
* space group: No. 221
* crystal system: cubic

---

Run x
Crystalline TaAlIn3 at its relaxed geometry, computed with PBE.

a = 5.4378 Å, b = 5.4378 Å, c = 5.4378 Å
α = 90.00°, β = 90.00°, γ = 90.00°
Positions (direct):
In 0.0000 0.5000 0.0000
In 0.0000 0.0000 0.5000
In 0.5000 0.0000 0.0000
Al 0.5000 0.5000 0.5000
Ta 0.0000 0.0000 0.0000

Results
* space group: No. 221
* crystal system: cubic

---

Stability check: which of them is most stable? run x.

---

Run w
Crystalline Ta3AlIn at its relaxed geometry, computed with PBE.

a = 4.7289 Å, b = 4.7289 Å, c = 4.7289 Å
α = 90.00°, β = 90.00°, γ = 90.00°
Positions (direct):
In 0.5000 0.5000 0.5000
Al 0.0000 0.0000 0.0000
Ta 0.0000 0.5000 0.0000
Ta 0.0000 0.0000 0.5000
Ta 0.5000 0.0000 0.0000

Results
* space group: No. 221
* crystal system: cubic

---

Run x
Crystalline Ta3AlIn at its relaxed geometry, computed with PBE.

a = 4.9718 Å, b = 4.9718 Å, c = 4.9718 Å
α = 90.00°, β = 90.00°, γ = 90.00°
Positions (direct):
In 0.0000 0.0000 0.0000
Al 0.5000 0.5000 0.5000
Ta 0.0000 0.5000 0.0000
Ta 0.0000 0.0000 0.5000
Ta 0.5000 0.0000 0.0000

Results
* space group: No. 221
* crystal system: cubic

---

Stability check: which of them is most stable? run w.